DFT (PBE) results for an optimized crystal structure of MnCu4Pt2.

- ΔE_f: 323 meV/atom
- Crystal system: tetragonal
- Symmetry: I4/mmm, No. 139

abc: 4.707 4.707 5.818
angles: 113.90 113.86 90.00
Positions (direct):
Mn (0.000, 0.000, 0.000)
Cu (0.750, 0.250, 0.500)
Pt (0.640, 0.640, 0.280)
Pt (0.360, 0.360, 0.720)
Cu (0.000, 0.500, 0.000)
Cu (0.250, 0.750, 0.500)
Cu (0.500, 0.000, 0.000)

---

DFT (PBE) results for an optimized crystal structure of MnCuPt3.

- ΔE_f: 1074 meV/atom
- Crystal system: cubic
- Polymorph energy (0 for the lowest one): 1352.4 meV per atom
- Symmetry: Pm-3m, No. 221

abc: 4.547 4.547 4.547
angles: 90.00 90.00 90.00
Positions (direct):
Cu (0.500, 0.500, 0.500)
Pt (0.000, 0.500, 0.000)
Pt (0.500, 0.000, 0.000)
Mn (0.000, 0.000, 0.000)
Pt (0.000, 0.000, 0.500)

---

DFT (PBE) results for an optimized crystal structure of MnCuPt2.

- ΔE_f: -211 meV/atom
- Crystal system: trigonal
- Symmetry: R-3m, No. 166

abc: 8.817 8.817 8.817
angles: 18.17 18.17 18.17
Positions (direct):
Cu (0.250, 0.250, 0.250)
Pt (0.500, 0.500, 0.500)
Pt (0.000, 0.000, 0.000)
Mn (0.750, 0.750, 0.750)

---

DFT (PBE) results for an optimized crystal structure of RbMnCuPt2.

- ΔE_f: 1220 meV/atom
- Crystal system: tetragonal
- Symmetry: P4/mmm, No. 123

abc: 4.612 5.474 4.612
angles: 90.00 90.00 90.00
Positions (direct):
Mn (0.000, 0.000, 0.000)
Pt (0.500, 0.000, 0.000)
Cu (0.500, 0.500, 0.500)
Rb (0.000, 0.500, 0.000)
Pt (0.000, 0.000, 0.500)

---

DFT (PBE) results for an optimized crystal structure of MnCuPt2Rh.

- ΔE_f: 1433 meV/atom
- Crystal system: tetragonal
- Symmetry: P4/mmm, No. 123

abc: 4.523 4.413 4.523
angles: 90.00 90.00 90.00
Positions (direct):
Pt (0.000, 0.000, 0.500)
Pt (0.500, 0.000, 0.000)
Cu (0.000, 0.000, 0.000)
Rh (0.000, 0.500, 0.000)
Mn (0.500, 0.500, 0.500)

---

DFT (PBE) results for an optimized crystal structure of MnCu2SbPt.

- Crystal system: tetragonal
- Formation energy from raw total energies: 609 meV per atom
- Symmetry: P4/mmm, No. 123

abc: 4.725 4.804 4.725
angles: 90.00 90.00 90.00
Positions (direct):
Mn (0.000, 0.500, 0.000)
Cu (0.500, 0.000, 0.000)
Sb (0.500, 0.500, 0.500)
Pt (0.000, 0.000, 0.000)
Cu (0.000, 0.000, 0.500)